# 1
DFT (meta-GGA SCAN) results for a crystal of MnBe3N relaxed with PBEsol.

Cell: 3.979 3.979 3.979 Å, 90.00 90.00 90.00°
Positions (direct):
Be (0.000, 0.500, 0.000)
Be (0.000, 0.000, 0.500)
Be (0.500, 0.000, 0.000)
Mn (0.000, 0.000, 0.000)
N (0.500, 0.500, 0.500)

## Properties
- total DFT energy (no corrections) (eV/atom) = -6.06
- E_form (uncorrected) (eV per atom) = 2.060
- size of the total moment (μB/cell) = 2.83
- SG = Pm-3m (221)

=====

# 2
DFT (meta-GGA SCAN) results for a crystal of Ba3UMnS6 relaxed with PBEsol.

Cell: 8.169 8.169 8.169 Å, 93.94 93.94 93.94°
Positions (direct):
Ba (0.128, 0.372, 0.750)
Ba (0.372, 0.750, 0.128)
Ba (0.750, 0.128, 0.372)
Ba (0.628, 0.250, 0.872)
Ba (0.250, 0.872, 0.628)
Ba (0.872, 0.628, 0.250)
U (0.250, 0.250, 0.250)
U (0.750, 0.750, 0.750)
Mn (0.500, 0.500, 0.500)
Mn (0.000, 0.000, 0.000)
S (0.409, 0.208, 0.535)
S (0.208, 0.535, 0.409)
S (0.535, 0.409, 0.208)
S (0.909, 0.035, 0.708)
S (0.035, 0.708, 0.909)
S (0.708, 0.909, 0.035)
S (0.591, 0.792, 0.465)
S (0.792, 0.465, 0.591)
S (0.465, 0.591, 0.792)
S (0.091, 0.965, 0.292)
S (0.965, 0.292, 0.091)
S (0.292, 0.091, 0.965)

## Properties
- total DFT energy (no corrections) (eV/atom) = -29.04
- E_form (uncorrected) (eV per atom) = -1.930
- size of the total moment (μB/cell) = 10.24
- SG = R-3c (167)

=====

# 3
DFT (meta-GGA SCAN) results for a crystal of Ba3TlRh relaxed with PBEsol.

Cell: 5.852 5.852 5.852 Å, 90.00 90.00 90.00°
Positions (direct):
Tl (0.500, 0.500, 0.500)
Rh (0.000, 0.000, 0.000)
Ba (0.000, 0.500, 0.000)
Ba (0.000, 0.000, 0.500)
Ba (0.500, 0.000, 0.000)

## Properties
- total DFT energy (no corrections) (eV/atom) = -45.20
- formation energy (eV per atom) = -0.244
- size of the total moment (μB/cell) = 0.00
- SG = Pm-3m (221)

=====

# 4
DFT (meta-GGA SCAN) results for a crystal of ScMo3 relaxed with PBEsol.

Cell: 2.667 5.218 5.372 Å, 119.06 90.00 90.00°
Positions (direct):
Mo (0.000, 0.000, 0.000)
Mo (0.500, 0.000, 0.500)
Mo (0.500, 0.500, 0.500)
Sc (0.000, 0.500, 0.000)

## Properties
- total DFT energy (no corrections) (eV/atom) = -29.41
- formation energy (eV per atom) = 0.311
- size of the total moment (μB/cell) = 0.00
- SG = Cmmm (65)